Density functional theory data (GGA-PBE) for an optimized crystal structure of TbPm2Sm2.

* calculated formation energy: 0.13 eV per atom
* space-group type: No. 74
* mass density: 7.30 g/cm³

a = 5.8039 Å, b = 3.6349 Å, c = 16.5138 Å
α = 96.32°, β = 100.12°, γ = 90.00°
Element x y z (fractional)
Tb 0.8279 0.5779 0.6558
Tb 0.1721 0.4221 0.3442
Pm 0.5430 0.2930 0.0860
Pm 0.9428 0.1928 0.8856
Pm 0.4570 0.7070 0.9140
Pm 0.0572 0.8072 0.1144
Sm 0.7289 0.9789 0.4578
Sm 0.2711 0.0211 0.5422
Sm 0.3691 0.1191 0.7381
Sm 0.6309 0.8809 0.2619